# 1
This record from Alexandria via LeMat-Bulk describes CdHg5 after structural relaxation. The functional is PBEsol.

Calculated values
**Spin magnetization**: 0.000 μB per formula unit
**E_tot**: -3.94 eV/cell
**Formation energy**: 16 meV per atom

abc: 3.233 6.389 7.050
angles: 104.13 90.00 104.66
Fractional coordinates of all 6 atoms:
Hg (0.387, 0.773, 0.261)
Hg (0.676, 0.351, 0.347)
Hg (0.048, 0.097, 0.598)
Hg (0.341, 0.682, 0.683)
Hg (0.710, 0.420, 0.933)
Cd (0.005, 0.010, 0.010)

# 2
This record from Alexandria via LeMat-Bulk describes CdHg3 after structural relaxation. The functional is PBEsol.

Calculated values
**Energy above the most stable polymorph in this dataset**: 38 meV per atom
**Spin magnetization**: 0.000 μB per formula unit
**E_tot**: -5.51 eV/cell
**Formation energy**: 36 meV per atom

abc: 5.658 5.658 5.658
angles: 90.00 90.00 90.00
Fractional coordinates of all 8 atoms:
Cd (0.000, 0.000, 0.000)
Cd (0.500, 0.500, 0.500)
Hg (0.000, 0.250, 0.500)
Hg (0.000, 0.750, 0.500)
Hg (0.250, 0.500, 0.000)
Hg (0.500, 0.000, 0.250)
Hg (0.500, 0.000, 0.750)
Hg (0.750, 0.500, 0.000)

# 3
This record from Alexandria via LeMat-Bulk describes Cd3Hg after structural relaxation. The functional is PBEsol.

Calculated values
**Spin magnetization**: 0.000 μB per formula unit
**E_tot**: -4.15 eV/cell
**Formation energy**: 1 meV per atom

abc: 3.109 5.035 5.707
angles: 95.94 105.81 90.00
Fractional coordinates of all 4 atoms:
Hg (0.000, 0.500, 0.000)
Cd (0.246, 0.248, 0.492)
Cd (0.754, 0.752, 0.508)
Cd (0.500, 0.000, 0.000)

# 4
This record from Alexandria via LeMat-Bulk describes Cd4Hg after structural relaxation. The functional is PBEsol.

Calculated values
**Energy above the most stable polymorph in this dataset**: 86 meV per atom
**Spin magnetization**: 0.000 μB per formula unit
**E_tot**: -4.91 eV/cell
**Formation energy**: 88 meV per atom

abc: 4.055 4.055 7.620
angles: 105.43 105.43 90.00
Fractional coordinates of all 5 atoms:
Hg (0.000, 0.000, 0.000)
Cd (0.750, 0.250, 0.500)
Cd (0.403, 0.403, 0.806)
Cd (0.597, 0.597, 0.194)
Cd (0.250, 0.750, 0.500)

# 5
This record from Alexandria via LeMat-Bulk describes Cd22Hg after structural relaxation. The functional is PBEsol.

Calculated values
**Spin magnetization**: 0.000 μB per formula unit
**E_tot**: -50.92 eV/cell
**Formation energy**: 63 meV per atom

abc: 11.202 11.202 11.202
angles: 60.00 60.00 60.00
Fractional coordinates of all 46 atoms:
Cd (0.443, 0.183, 0.443)
Cd (0.443, 0.930, 0.443)
Cd (0.930, 0.443, 0.183)
Cd (0.183, 0.443, 0.930)
Cd (0.930, 0.183, 0.443)
Cd (0.183, 0.930, 0.443)
Cd (0.443, 0.443, 0.930)
Cd (0.443, 0.443, 0.183)
Cd (0.443, 0.183, 0.930)
Cd (0.443, 0.930, 0.183)
Cd (0.183, 0.443, 0.443)
Cd (0.930, 0.443, 0.443)
Cd (0.807, 0.320, 0.807)
Cd (0.807, 0.067, 0.807)
Cd (0.320, 0.807, 0.067)
Cd (0.067, 0.807, 0.320)
Cd (0.320, 0.807, 0.807)
Cd (0.067, 0.807, 0.807)
Cd (0.807, 0.067, 0.320)
Cd (0.807, 0.320, 0.067)
Cd (0.807, 0.807, 0.320)
Cd (0.807, 0.807, 0.067)
Cd (0.067, 0.320, 0.807)
Cd (0.320, 0.067, 0.807)
Cd (0.893, 0.893, 0.607)
Cd (0.607, 0.607, 0.893)
Cd (0.607, 0.893, 0.893)
Cd (0.893, 0.607, 0.607)
Cd (0.607, 0.893, 0.607)
Cd (0.893, 0.607, 0.893)
Cd (0.357, 0.643, 0.643)
Cd (0.643, 0.357, 0.357)
Cd (0.643, 0.643, 0.357)
Cd (0.357, 0.357, 0.643)
Cd (0.643, 0.357, 0.643)
Cd (0.357, 0.643, 0.357)
Cd (0.125, 0.625, 0.125)
Cd (0.125, 0.125, 0.125)
Cd (0.125, 0.125, 0.625)
Cd (0.625, 0.125, 0.125)
Cd (0.625, 0.125, 0.625)
Cd (0.625, 0.625, 0.625)
Cd (0.625, 0.625, 0.125)
Cd (0.125, 0.625, 0.625)
Hg (0.250, 0.250, 0.250)
Hg (0.000, 0.000, 0.000)

# 6
This record from Alexandria via LeMat-Bulk describes Cd2Hg after structural relaxation. The functional is PBEsol.

Calculated values
**Spin magnetization**: 0.000 μB per formula unit
**E_tot**: -5.81 eV/cell
**Formation energy**: 18 meV per atom

abc: 3.148 3.148 13.433
angles: 96.73 96.73 90.00
Fractional coordinates of all 6 atoms:
Hg (0.000, 0.000, 0.000)
Hg (0.250, 0.750, 0.500)
Cd (0.671, 0.171, 0.342)
Cd (0.829, 0.329, 0.658)
Cd (0.421, 0.421, 0.842)
Cd (0.579, 0.579, 0.158)

# 7
This record from Alexandria via LeMat-Bulk describes Cd2Hg after structural relaxation. The functional is PBEsol.

Calculated values
**Spin magnetization**: 0.000 μB per formula unit
**E_tot**: -2.84 eV/cell
**Formation energy**: 40 meV per atom

abc: 3.184 4.884 4.884
angles: 120.00 90.00 90.00
Fractional coordinates of all 3 atoms:
Hg (0.000, 0.000, 0.000)
Cd (0.709, 0.333, 0.667)
Cd (0.291, 0.667, 0.333)

# 8
This record from Alexandria via LeMat-Bulk describes Cd2Hg after structural relaxation. The functional is PBEsol.

Calculated values
**Spin magnetization**: 0.000 μB per formula unit
**E_tot**: -2.70 eV/cell
**Formation energy**: 87 meV per atom

abc: 4.155 4.221 4.221
angles: 90.00 90.00 90.00
Fractional coordinates of all 3 atoms:
Hg (0.000, 0.000, 0.000)
Cd (0.500, 0.000, 0.500)
Cd (0.500, 0.500, 0.000)

# 9
This record from Alexandria via LeMat-Bulk describes Cd2Hg after structural relaxation. The functional is PBEsol.

Calculated values
**Spin magnetization**: 0.000 μB per formula unit
**E_tot**: -5.46 eV/cell
**Formation energy**: 77 meV per atom

abc: 5.641 5.641 5.641
angles: 106.79 106.79 114.98
Fractional coordinates of all 6 atoms:
Hg (0.250, 0.250, 0.000)
Hg (0.750, 0.750, 0.000)
Cd (0.650, 0.150, 0.800)
Cd (0.150, 0.350, 0.500)
Cd (0.850, 0.650, 0.500)
Cd (0.350, 0.850, 0.200)

# 10
This record from Alexandria via LeMat-Bulk describes Cd3Hg after structural relaxation. The functional is PBEsol.

Calculated values
**Spin magnetization**: 0.000 μB per formula unit
**E_tot**: -8.37 eV/cell
**Formation energy**: -6 meV per atom

abc: 5.190 5.559 5.881
angles: 90.00 90.00 90.00
Fractional coordinates of all 8 atoms:
Cd (0.672, 0.500, 0.000)
Cd (0.828, 0.000, 0.251)
Cd (0.172, 0.500, 0.249)
Cd (0.328, 0.000, 0.500)
Cd (0.828, 0.000, 0.749)
Cd (0.172, 0.500, 0.751)
Hg (0.329, 0.000, 0.000)
Hg (0.671, 0.500, 0.500)

# 11
This record from Alexandria via LeMat-Bulk describes CdHg3 after structural relaxation. The functional is PBEsol.

Calculated values
**Energy above the most stable polymorph in this dataset**: 19 meV per atom
**Spin magnetization**: 0.000 μB per formula unit
**E_tot**: -2.83 eV/cell
**Formation energy**: 17 meV per atom

abc: 3.903 5.010 5.627
angles: 116.43 110.29 90.00
Fractional coordinates of all 4 atoms:
Hg (0.746, 0.746, 0.491)
Hg (0.254, 0.254, 0.509)
Hg (0.500, 0.000, 0.000)
Cd (0.000, 0.500, 0.000)

# 12
This record from Alexandria via LeMat-Bulk describes CdHg3 after structural relaxation. The functional is PBEsol.

Calculated values
**Energy above the most stable polymorph in this dataset**: 28 meV per atom
**Spin magnetization**: 0.000 μB per formula unit
**E_tot**: -2.80 eV/cell
**Formation energy**: 25 meV per atom

abc: 3.428 5.158 5.158
angles: 90.00 90.00 90.00
Fractional coordinates of all 4 atoms:
Hg (0.500, 0.000, 0.500)
Hg (0.500, 0.500, 0.000)
Hg (0.000, 0.500, 0.500)
Cd (0.000, 0.000, 0.000)

# 13
This record from Alexandria via LeMat-Bulk describes CdHg3 after structural relaxation. The functional is PBEsol.

Calculated values
**Energy above the most stable polymorph in this dataset**: 7 meV per atom
**Spin magnetization**: 0.000 μB per formula unit
**E_tot**: -5.76 eV/cell
**Formation energy**: 4 meV per atom

abc: 4.570 6.138 6.525
angles: 90.00 90.00 90.00
Fractional coordinates of all 8 atoms:
Cd (0.000, 0.000, 0.335)
Cd (0.500, 0.500, 0.665)
Hg (0.500, 0.000, 0.625)
Hg (0.000, 0.247, 0.851)
Hg (0.500, 0.253, 0.149)
Hg (0.000, 0.500, 0.375)
Hg (0.000, 0.753, 0.851)
Hg (0.500, 0.747, 0.149)

# 14
This record from Alexandria via LeMat-Bulk describes CdHg3 after structural relaxation. The functional is PBEsol.

Calculated values
**Energy above the most stable polymorph in this dataset**: 17 meV per atom
**Spin magnetization**: 0.000 μB per formula unit
**E_tot**: -5.68 eV/cell
**Formation energy**: 14 meV per atom

abc: 5.198 6.283 6.283
angles: 120.00 90.00 90.00
Fractional coordinates of all 8 atoms:
Cd (0.750, 0.667, 0.333)
Cd (0.250, 0.333, 0.667)
Hg (0.750, 0.168, 0.335)
Hg (0.250, 0.832, 0.665)
Hg (0.750, 0.168, 0.832)
Hg (0.250, 0.832, 0.168)
Hg (0.750, 0.665, 0.832)
Hg (0.250, 0.335, 0.168)

# 15
This record from Alexandria via LeMat-Bulk describes Cd5Hg after structural relaxation. The functional is PBEsol.

Calculated values
**Spin magnetization**: 0.000 μB per formula unit
**E_tot**: -6.55 eV/cell
**Formation energy**: 0 meV per atom

abc: 2.948 6.312 7.587
angles: 111.81 90.00 103.51
Fractional coordinates of all 6 atoms:
Hg (0.281, 0.562, 0.057)
Cd (0.004, 0.008, 0.994)
Cd (0.614, 0.227, 0.723)
Cd (0.334, 0.668, 0.664)
Cd (0.942, 0.884, 0.393)
Cd (0.659, 0.318, 0.336)

# 16
This record from Alexandria via LeMat-Bulk describes HoCdHg2 after structural relaxation. The functional is PBEsol.

Calculated values
**Spin magnetization**: 0.000 μB per formula unit
**E_tot**: -9.13 eV/cell
**Formation energy**: -463 meV per atom

abc: 4.967 4.967 4.967
angles: 60.00 60.00 60.00
Fractional coordinates of all 4 atoms:
Cd (0.500, 0.500, 0.500)
Ho (0.000, 0.000, 0.000)
Hg (0.250, 0.250, 0.250)
Hg (0.750, 0.750, 0.750)

# 17
This record from Alexandria via LeMat-Bulk describes CdHgI2 after structural relaxation. The functional is PBEsol.

Calculated values
**Spin magnetization**: 0.000 μB per formula unit
**E_tot**: -12.71 eV/cell

abc: 7.290 7.290 7.290
angles: 111.72 108.36 108.36
Fractional coordinates of all 8 atoms:
I (0.928, 0.553, 0.125)
I (0.072, 0.197, 0.625)
I (0.428, 0.875, 0.803)
I (0.572, 0.375, 0.447)
Hg (0.500, 0.750, 0.250)
Hg (0.000, 0.000, 0.000)
Cd (0.500, 0.250, 0.750)
Cd (0.000, 0.500, 0.500)

# 18
This record from Alexandria via LeMat-Bulk describes CdHgTe2I after structural relaxation. The functional is PBEsol.

Calculated values
**Spin magnetization**: 0.002 μB per formula unit
**E_tot**: -8.60 eV/cell

abc: 5.564 5.564 5.693
angles: 90.00 90.00 90.00
Fractional coordinates of all 5 atoms:
I (0.000, 0.000, 0.500)
Te (0.000, 0.500, 0.000)
Te (0.500, 0.000, 0.000)
Hg (0.500, 0.500, 0.500)
Cd (0.000, 0.000, 0.000)

# 19
This record from Alexandria via LeMat-Bulk describes CdIn2Hg after structural relaxation. The functional is PBEsol.

Calculated values
**Energy above the most stable polymorph in this dataset**: 8 meV per atom
**Spin magnetization**: 0.000 μB per formula unit
**E_tot**: -7.67 eV/cell
**Formation energy**: 16 meV per atom

abc: 3.202 3.202 10.974
angles: 78.01 78.01 59.76
Fractional coordinates of all 4 atoms:
In (0.266, 0.266, 0.250)
In (0.734, 0.734, 0.750)
Hg (0.000, 0.000, 0.000)
Cd (0.500, 0.500, 0.500)

# 20
This record from Alexandria via LeMat-Bulk describes CdIn2Hg after structural relaxation. The functional is PBEsol.

Calculated values
**Energy above the most stable polymorph in this dataset**: 17 meV per atom
**Spin magnetization**: 0.000 μB per formula unit
**E_tot**: -7.63 eV/cell
**Formation energy**: 25 meV per atom

abc: 3.364 5.387 6.125
angles: 116.12 104.60 89.99
Fractional coordinates of all 4 atoms:
In (0.749, 0.748, 0.497)
In (0.251, 0.251, 0.503)
Hg (0.000, 0.500, 0.000)
Cd (0.500, 0.000, 0.000)